Entry 1:
The following is a DFT calculation (PBE) of an optimized crystal structure of Er12Tl6Fe.

Cell: 12.0793 12.0793 13.1109 Å, 90.00 90.00 120.00°
Space group R-3 (No. 148, hexagonal axes)
Unique sites:
Er 0.0323 0.8487 0.3898 x18
Er 0.0396 0.1844 0.8793 x18
Tl 0.0091 0.6141 0.2593 x18
Fe 0.0000 0.0000 0.0000 x3

Computed properties:
- DFT total energy: -4.178 eV per atom

=====

Entry 2:
The following is a DFT calculation (PBE) of an optimized crystal structure of Er2TlFe.

Cell: 3.5822 3.5822 29.5987 Å, 90.00 90.00 120.00°
Space group R-3m (No. 166, hexagonal axes)
Unique sites:
Er 0.0000 0.0000 0.1095 x6
Tl 0.0000 0.0000 0.0000 x3
Fe 0.0000 0.0000 0.5000 x3

Computed properties:
- Offset from the most stable computed form: 1.273 eV per formula unit

=====

Entry 3:
The following is a DFT calculation (PBE) of an optimized crystal structure of ErTm6Fe2.

Cell: 9.444 9.707 9.916 Å, 90.00 90.00 90.00°
Space group Immm (No. 71)
Unique sites:
Er 0.000 0.000 0.000 x2
Er 0.000 0.000 0.500 x2
Tm 0.000 0.216 0.242 x8
Tm 0.183 0.500 0.178 x8
Tm 0.217 0.313 0.500 x8
Fe 0.000 0.307 0.000 x4
Fe 0.000 0.500 0.391 x4

Computed properties:
- DFT total energy: -5.351 eV per atom

=====

Entry 4:
The following is a DFT calculation (PBE) of an optimized crystal structure of Er2TmFe.

Cell: 3.320 3.320 8.846 Å, 90.00 90.00 90.00°
Space group P4/mmm (No. 123)
Unique sites:
Er 0.000 0.000 0.181 x2
Tm 0.500 0.500 0.500 x1
Fe 0.500 0.500 0.000 x1

Computed properties:
- Offset from the most stable computed form: 0.461 eV per formula unit

=====

Entry 5:
The following is a DFT calculation (PBE) of an optimized crystal structure of ErTm2Fe.

Cell: 6.994 8.991 6.161 Å, 90.00 90.00 90.00°
Space group Pnma (No. 62)
Unique sites:
Er 0.047 0.250 0.135 x4
Tm 0.174 0.066 0.672 x8
Fe 0.112 0.750 0.466 x4

Computed properties:
- Offset from the most stable computed form: 0.000 eV per formula unit

=====

Entry 6:
The following is a DFT calculation (PBE) of an optimized crystal structure of ErTm3Fe.

Cell: 5.181 5.181 5.181 Å, 90.00 90.00 90.00°
Space group Pm-3m (No. 221)
Unique sites:
Er 0.000 0.000 0.000 x1
Tm 0.000 0.500 0.500 x3
Fe 0.500 0.500 0.500 x1

Computed properties:
- Offset from the most stable computed form: 0.390 eV per formula unit